No. 1
DFT (GGA-PBE) results for a geometry-optimized Li2CaPb structure. Values from VASP.

Results
Total energy = -2.62 eV per atom
Symmetry = No. 99
Formation energy from the elements = -0.24 eV per atom

Geometry as Quantum ESPRESSO input:
```
&SYSTEM
  ibrav = 0, nat = 4, ntyp = 3
/
ATOMIC_SPECIES
Ca 40.08 Ca.upf
Li 6.94 Li.upf
Pb 207.20 Pb.upf
CELL_PARAMETERS angstrom
3.7042 0.0000 0.0000
0.0000 3.7063 0.0000
0.0000 0.0000 7.5029
ATOMIC_POSITIONS angstrom
Ca 1.8521 1.8532 5.5393
Li 0.0000 0.0000 0.4333
Li 1.8521 1.8532 1.8805
Pb 0.0000 0.0000 3.4012
```

***

No. 2
DFT (GGA-PBE) results for a geometry-optimized Zr4TaTe structure. Values from VASP.

Results
Total energy = -7.83 eV per atom
Symmetry = No. 216
ΔE_f (raw) = 0.37 eV/atom

Geometry as Quantum ESPRESSO input:
```
&SYSTEM
  ibrav = 0, nat = 6, ntyp = 3
/
ATOMIC_SPECIES
Zr 91.22 Zr.upf
Ta 180.95 Ta.upf
Te 127.60 Te.upf
CELL_PARAMETERS angstrom
1.7754 4.0126 3.7378
-3.3344 1.4485 4.4731
1.5306 -1.5171 5.3461
ATOMIC_POSITIONS angstrom
Zr 0.8587 3.4542 6.9492
Zr 0.7388 0.7462 7.7368
Zr -1.6436 2.1985 7.3093
Zr -0.0107 1.4891 5.1187
Ta -0.0213 2.9580 10.1677
Te 0.0000 0.0000 0.0000
```

***

No. 3
DFT (GGA-PBE) results for a geometry-optimized K2AlSbO4 structure. Values from VASP.

Results
Total energy = -5.59 eV per atom
Symmetry = No. 82
ΔE_f (raw) = -1.86 eV/atom

Geometry as Quantum ESPRESSO input:
```
&SYSTEM
  ibrav = 0, nat = 8, ntyp = 4
/
ATOMIC_SPECIES
K 39.10 K.upf
Al 26.98 Al.upf
Sb 121.76 Sb.upf
O 16.00 O.upf
CELL_PARAMETERS angstrom
-1.9156 -3.1132 4.5463
5.4904 1.9709 0.0517
-2.1351 5.3638 -0.8379
ATOMIC_POSITIONS angstrom
K 2.6262 1.2625 2.1025
K 0.0000 0.0000 0.0000
Al 1.6776 3.6673 -0.3931
Sb -1.1866 2.9589 1.6576
O -0.0344 1.3695 2.5588
O -0.0908 3.4234 -0.1450
O 0.7214 -0.9706 4.0947
O 2.2830 4.6204 1.0117
```

***

No. 4
DFT (GGA-PBE) results for a geometry-optimized AcIn2Pt structure. Values from VASP.

Results
Total energy = -4.63 eV per atom
Symmetry = No. 63
Energy relative to the lowest polymorph listed for this composition = 0.000 eV/atom
Formation energy from the elements = -0.72 eV per atom

Geometry as Quantum ESPRESSO input:
```
&SYSTEM
  ibrav = 0, nat = 8, ntyp = 3
/
ATOMIC_SPECIES
Ac 227.00 Ac.upf
In 114.82 In.upf
Pt 195.08 Pt.upf
CELL_PARAMETERS angstrom
-2.2991 -0.6497 -3.9064
0.9984 -5.2427 2.9681
-6.8560 0.8946 3.8863
ATOMIC_POSITIONS angstrom
Ac -2.9946 -4.9279 -0.1018
Ac -5.1622 -0.0699 3.0498
In -3.9044 -3.4277 2.8680
In -4.2523 -1.5701 0.0800
In -1.5641 -1.9209 -1.4438
In -6.5927 -3.0769 4.3918
Pt -1.7803 -2.2171 1.4165
Pt -6.3765 -2.7807 1.5315
```

***

No. 5
DFT (GGA-PBE) results for a geometry-optimized MnSb2Mo structure. Values from VASP.

Results
Total energy = -6.77 eV per atom
Symmetry = No. 123
Energy relative to the lowest polymorph listed for this composition = 0.180 eV/atom
ΔE_f (raw) = 0.29 eV/atom

Geometry as Quantum ESPRESSO input:
```
&SYSTEM
  ibrav = 0, nat = 4, ntyp = 3
/
ATOMIC_SPECIES
Mn 54.94 Mn.upf
Mo 95.94 Mo.upf
Sb 121.76 Sb.upf
CELL_PARAMETERS angstrom
-1.6307 2.3629 -3.6874
-4.3102 -1.5612 0.9079
-0.5537 2.6635 1.9516
ATOMIC_POSITIONS angstrom
Mn -1.0922 2.5132 -0.8679
Mo -2.4319 0.5512 1.4298
Sb 0.0000 0.0000 0.0000
Sb -2.9704 0.4009 -1.3898
```

***

No. 6
DFT (GGA-PBE) results for a geometry-optimized HfIrCl2 structure. Values from VASP.

Results
Total energy = -5.11 eV per atom
Symmetry = No. 122
Energy relative to the lowest polymorph listed for this composition = 0.773 eV/atom
ΔE_f (raw) = 0.51 eV/atom

Geometry as Quantum ESPRESSO input:
```
&SYSTEM
  ibrav = 0, nat = 8, ntyp = 3
/
ATOMIC_SPECIES
Ir 192.22 Ir.upf
Hf 178.49 Hf.upf
Cl 35.45 Cl.upf
CELL_PARAMETERS angstrom
5.7538 0.0000 0.0000
0.0000 5.7538 0.0000
2.8769 2.8769 5.1607
ATOMIC_POSITIONS angstrom
Ir 0.0000 0.0000 0.0000
Ir 5.7538 2.8769 2.5804
Hf 2.8769 2.8769 0.0000
Hf 2.8769 5.7538 2.5804
Cl 4.3735 1.4385 1.2902
Cl 1.3803 4.3154 1.2902
Cl 4.3154 4.2572 3.8705
Cl 7.1923 7.2504 3.8705
```

***

No. 7
DFT (GGA-PBE) results for a geometry-optimized PmPrS2 structure. Values from VASP.

Results
Total energy = -6.48 eV per atom
Symmetry = No. 12
Energy relative to the lowest polymorph listed for this composition = 0.000 eV/atom
ΔE_f (raw) = -2.03 eV/atom

Geometry as Quantum ESPRESSO input:
```
&SYSTEM
  ibrav = 0, nat = 4, ntyp = 3
/
ATOMIC_SPECIES
Pm 145.00 Pm.upf
Pr 140.91 Pr.upf
S 32.06 S.upf
CELL_PARAMETERS angstrom
-1.6447 2.7107 2.5491
-0.3765 -0.9074 3.9479
5.3332 3.1622 3.3441
ATOMIC_POSITIONS angstrom
Pm 0.0000 0.0000 0.0000
Pr 1.6560 2.4828 4.9206
S 2.5237 3.7413 7.3891
S 0.7884 1.2243 2.4520
```

***

No. 8
DFT (GGA-PBE) results for a geometry-optimized Li2CaCd structure. Values from VASP.

Results
Total energy = -1.84 eV per atom
Symmetry = No. 25
Energy relative to the lowest polymorph listed for this composition = 0.030 eV/atom
Formation energy from the elements = -0.15 eV per atom

Geometry as Quantum ESPRESSO input:
```
&SYSTEM
  ibrav = 0, nat = 4, ntyp = 3
/
ATOMIC_SPECIES
Ca 40.08 Ca.upf
Li 6.94 Li.upf
Cd 112.41 Cd.upf
CELL_PARAMETERS angstrom
-2.8476 1.8511 -1.3866
-2.3048 -2.0040 2.0579
-1.7566 2.8323 7.3889
ATOMIC_POSITIONS angstrom
Ca -2.0214 0.4959 4.8135
Li -1.7623 2.7823 7.3338
Li -2.4691 0.8705 1.3800
Cd -4.4436 1.7770 6.6453
```